Entry 1:
# LuScPa GGA-PBE optimized geometry
data_LuScPa
_space_group_name_H-M_alt 'P 1'
_space_group_IT_number 1
_space_group_name_Hall 'P 1'
_cell_length_a 3.131
_cell_length_b 5.329
_cell_length_c 5.329
_cell_angle_alpha 120.00
_cell_angle_beta 90.00
_cell_angle_gamma 90.00
loop_
_atom_site_label
_atom_site_type_symbol
_atom_site_fract_x
_atom_site_fract_y
_atom_site_fract_z
Sc1 Sc 0.667 0.667 0.333
Pa1 Pa 0.167 0.333 0.667
Lu1 Lu 0.166 0.000 0.000
# Total magnetic moment, μB/cell: 0.00
# DFT formation energy, eV per formula unit: 0.73
# Energy relative to the lowest polymorph listed for this composition, meV per atom: 124

=====

Entry 2:
# RhAuC GGA-PBE optimized geometry
data_RhAuC
_space_group_name_H-M_alt 'P 1'
_space_group_IT_number 1
_space_group_name_Hall 'P 1'
_cell_length_a 2.883
_cell_length_b 3.122
_cell_length_c 4.805
_cell_angle_alpha 90.00
_cell_angle_beta 90.00
_cell_angle_gamma 90.00
loop_
_atom_site_label
_atom_site_type_symbol
_atom_site_fract_x
_atom_site_fract_y
_atom_site_fract_z
Rh1 Rh 0.500 0.000 0.930
C1 C 0.500 0.500 0.704
Au1 Au 0.000 0.500 0.361
# Total magnetic moment, μB/cell: 0.00
# DFT formation energy, eV per formula unit: 2.17
# Energy relative to the lowest polymorph listed for this composition, meV per atom: 225

=====

Entry 3:
# Zr4O GGA-PBE optimized geometry
data_Zr4O
_space_group_name_H-M_alt 'P 1'
_space_group_IT_number 1
_space_group_name_Hall 'P 1'
_cell_length_a 4.567
_cell_length_b 4.567
_cell_length_c 4.567
_cell_angle_alpha 90.00
_cell_angle_beta 90.00
_cell_angle_gamma 90.00
loop_
_atom_site_label
_atom_site_type_symbol
_atom_site_fract_x
_atom_site_fract_y
_atom_site_fract_z
Zr1 Zr 0.000 0.000 0.000
Zr2 Zr 0.500 0.000 0.500
Zr3 Zr 0.000 0.500 0.500
Zr4 Zr 0.500 0.500 0.000
O1 O 0.500 0.500 0.500
# Total magnetic moment, μB/cell: 0.00
# Energy relative to the lowest polymorph listed for this composition, meV per atom: 13

=====

Entry 4:
# ScMo2Os GGA-PBE optimized geometry
data_ScMo2Os
_space_group_name_H-M_alt 'P 1'
_space_group_IT_number 1
_space_group_name_Hall 'P 1'
_cell_length_a 3.171
_cell_length_b 3.171
_cell_length_c 6.517
_cell_angle_alpha 90.00
_cell_angle_beta 90.00
_cell_angle_gamma 90.00
loop_
_atom_site_label
_atom_site_type_symbol
_atom_site_fract_x
_atom_site_fract_y
_atom_site_fract_z
Mo1 Mo 0.000 0.000 0.018
Mo2 Mo 0.500 0.500 0.249
Os1 Os 0.000 0.000 0.486
Sc1 Sc 0.500 0.500 0.747
# Total magnetic moment, μB/cell: 0.00
# DFT formation energy, eV per formula unit: -0.19
# Energy relative to the lowest polymorph listed for this composition, meV per atom: 66

=====

Entry 5:
# ScIr3F GGA-PBE optimized geometry
data_ScIr3F
_space_group_name_H-M_alt 'P 1'
_space_group_IT_number 1
_space_group_name_Hall 'P 1'
_cell_length_a 4.296
_cell_length_b 4.296
_cell_length_c 4.296
_cell_angle_alpha 90.00
_cell_angle_beta 90.00
_cell_angle_gamma 90.00
loop_
_atom_site_label
_atom_site_type_symbol
_atom_site_fract_x
_atom_site_fract_y
_atom_site_fract_z
Sc1 Sc 0.500 0.500 0.500
Ir1 Ir 0.000 0.500 0.000
Ir2 Ir 0.000 0.000 0.500
Ir3 Ir 0.500 0.000 0.000
F1 F 0.000 0.000 0.000
# Total magnetic moment, μB/cell: 0.00
# Energy relative to the lowest polymorph listed for this composition, meV per atom: 0

=====

Entry 6:
# Re5Te GGA-PBE optimized geometry
data_Re5Te
_space_group_name_H-M_alt 'P 1'
_space_group_IT_number 1
_space_group_name_Hall 'P 1'
_cell_length_a 5.239
_cell_length_b 5.239
_cell_length_c 5.239
_cell_angle_alpha 60.00
_cell_angle_beta 60.00
_cell_angle_gamma 60.00
loop_
_atom_site_label
_atom_site_type_symbol
_atom_site_fract_x
_atom_site_fract_y
_atom_site_fract_z
Re1 Re 0.250 0.250 0.250
Re2 Re 0.625 0.625 0.625
Re3 Re 0.625 0.625 0.125
Re4 Re 0.125 0.625 0.625
Re5 Re 0.625 0.125 0.625
Te1 Te 0.000 0.000 0.000
# Total magnetic moment, μB/cell: 0.01
# Energy relative to the lowest polymorph listed for this composition, meV per atom: 509

=====

Q: Look up the total magnetic moment of the sixth one.
A: 0.01 μB/cell

=====

Q: The highest energy relative to the lowest polymorph listed for this composition belongs to which entry?
A: Re5Te

=====

Q: Among the records above, which one has the highest total magnetic moment?
A: Re5Te

=====

Copy entry 4 word for word.
# ScMo2Os GGA-PBE optimized geometry
data_ScMo2Os
_space_group_name_H-M_alt 'P 1'
_space_group_IT_number 1
_space_group_name_Hall 'P 1'
_cell_length_a 3.171
_cell_length_b 3.171
_cell_length_c 6.517
_cell_angle_alpha 90.00
_cell_angle_beta 90.00
_cell_angle_gamma 90.00
loop_
_atom_site_label
_atom_site_type_symbol
_atom_site_fract_x
_atom_site_fract_y
_atom_site_fract_z
Mo1 Mo 0.000 0.000 0.018
Mo2 Mo 0.500 0.500 0.249
Os1 Os 0.000 0.000 0.486
Sc1 Sc 0.500 0.500 0.747
# Total magnetic moment, μB/cell: 0.00
# DFT formation energy, eV per formula unit: -0.19
# Energy relative to the lowest polymorph listed for this composition, meV per atom: 66